Entry 1:
This record from Alexandria describes an optimized crystal structure of In2ReAg2. The functional is GGA-PBE.

Lattice parameters (Å, degrees): 7.1328 7.1328 7.1328 146.81 146.81 47.65
Closest atoms and distances in Å follow each position.
Sites, in units of the cell vectors:
1 In 0.2500 0.7500 0.5000  4 Ag 2.84, 4 In 2.88
2 In 0.7500 0.2500 0.5000  4 Ag 2.84, 4 In 2.88
3 Re 0.0000 0.0000 0.0000  8 Ag 3.16
4 Ag 0.4015 0.4015 0.0000  1 Ag 2.57, 4 In 2.84
5 Ag 0.5985 0.5985 0.0000  1 Ag 2.57, 4 In 2.84

Computed properties:
Spin magnetization in μB/atom: 0.650
ΔH_f (0 K) in eV per atom: 1.058
Total DFT energy (no corrections) in eV/cell: -18.338
N(E_F) in states/eV/cell: 3.2
Symmetry: No. 139

Entry 2:
This record from Alexandria describes an optimized crystal structure of In2Re2Ag. The functional is GGA-PBE.

Lattice parameters (Å, degrees): 5.4750 5.4750 5.4750 123.71 123.71 83.68
Closest atoms and distances in Å follow each position.
Sites, in units of the cell vectors:
1 In 0.2500 0.7500 0.5000  4 Re 2.73
2 In 0.7500 0.2500 0.5000  4 Re 2.73
3 Re 0.1397 0.1397 0.0000  1 Re 2.28
4 Re 0.8603 0.8603 0.0000  1 Re 2.28
5 Ag 0.5000 0.5000 0.0000  2 Re 2.94, 8 In 3.29

Computed properties:
Spin magnetization in μB/atom: 0.000
ΔH_f (0 K) in eV per atom: 0.933
Total DFT energy (no corrections) in eV/cell: -28.558
N(E_F) in states/eV/cell: 3.7
Symmetry: No. 139

Entry 3:
This record from Alexandria describes an optimized crystal structure of InRe2Ag. The functional is GGA-PBE.

Lattice parameters (Å, degrees): 3.8536 3.8536 4.5684 90.00 90.00 90.00
Closest atoms and distances in Å follow each position.
Sites, in units of the cell vectors:
1 In 0.0000 0.0000 0.0000  4 Ag 2.72, 8 Re 2.99
2 Re 0.0000 0.5000 0.5000  4 Re 2.72, 4 In 2.99, 4 Ag 2.99
3 Re 0.5000 0.0000 0.5000  4 Re 2.72, 4 In 2.99, 4 Ag 2.99
4 Ag 0.5000 0.5000 0.0000  4 In 2.72, 8 Re 2.99

Computed properties:
Spin magnetization in μB/atom: 0.000
ΔH_f (0 K) in eV per atom: 0.760
Total DFT energy (no corrections) in eV/cell: -27.446
N(E_F) in states/eV/cell: 4.2
Symmetry: No. 123

Entry 4:
This record from Alexandria describes an optimized crystal structure of InRe2Ag. The functional is GGA-PBE.

Lattice parameters (Å, degrees): 5.3491 5.3491 5.3491 137.92 137.92 61.02
Closest atoms and distances in Å follow each position.
Sites, in units of the cell vectors:
1 In 0.0000 0.0000 0.0000  4 Ag 2.72, 8 Re 3.00
2 Re 0.2500 0.7500 0.5000  4 Re 2.72, 4 In 3.00, 4 Ag 3.00
3 Re 0.7500 0.2500 0.5000  4 Re 2.72, 4 In 3.00, 4 Ag 3.00
4 Ag 0.5000 0.5000 0.0000  4 In 2.72, 8 Re 3.00

Computed properties:
Spin magnetization in μB/atom: 0.000
ΔH_f (0 K) in eV per atom: 0.771
Total DFT energy (no corrections) in eV/cell: -27.401
N(E_F) in states/eV/cell: 4.3
Symmetry: No. 139